# 1
Rb3Au2Cl7 | GGA-PBE | optimized geometry

Values from the calculation:
size of the total moment = 0.00 Bohr magnetons per cell
electronic total energy = -0.218 Ry/atom
formation energy without anion corrections = -1.10 eV/atom

Cell lengths 5.351, 25.855, 5.100 Å; angles 90.00, 90.00, 90.00 degrees
Space group Cmmm (No. 65)
Inequivalent atoms, fractional coordinates:
Rb1 0.000 0.000 0.000 x2
Rb2 0.000 0.180 0.000 x4
Au1 0.000 0.402 0.500 x4
Cl1 0.000 0.094 0.500 x4
Cl2 0.000 0.304 0.500 x4
Cl3 0.000 0.405 0.000 x4
Cl4 0.000 0.500 0.500 x2



# 2
TbHfSc2Rh4 | GGA-PBE | optimized geometry

Values from the calculation:
size of the total moment = 0.00 Bohr magnetons per cell
formation energy from the elements = -0.941 eV per atom
electronic total energy = -0.590 Ry/atom

Cell lengths 4.6494, 4.6494, 23.0085 Å; angles 90.00, 90.00, 120.00 degrees
Space group R-3m (No. 166, hexagonal axes)
Inequivalent atoms, fractional coordinates:
Tb1 0.0000 0.0000 0.0000 x3
Hf1 0.0000 0.0000 0.5000 x3
Sc1 0.0000 0.0000 0.2484 x6
Rh1 0.0000 0.0000 0.1295 x6
Rh2 0.0000 0.0000 0.3811 x6



# 3
FeTc2Ir | GGA-PBE | optimized geometry

Values from the calculation:
size of the total moment = 7.47 Bohr magnetons per cell
formation energy from the elements = 0.035 eV per atom
energy above the lowest structure with this stoichiometry = 85 meV/atom
electronic total energy = -0.697 Ry/atom

Cell lengths 2.7225, 2.7225, 26.2334 Å; angles 90.00, 90.00, 120.00 degrees
Space group R3m (No. 160, hexagonal axes)
Inequivalent atoms, fractional coordinates:
Fe1 0.0000 0.0000 0.0000 x3
Tc1 0.0000 0.0000 0.4998 x3
Tc2 0.0000 0.0000 0.7499 x3
Ir1 0.0000 0.0000 0.2529 x3



# 4
SmTmZnPb | GGA-PBE | optimized geometry

Values from the calculation:
size of the total moment = 0.00 Bohr magnetons per cell
formation energy from the elements = -0.358 eV per atom
electronic total energy = -0.287 Ry/atom

Cell lengths 7.440, 7.440, 7.440 Å; angles 90.00, 90.00, 90.00 degrees
Space group F-43m (No. 216)
Inequivalent atoms, fractional coordinates:
Sm1 0.000 0.000 0.000 x4
Tm1 0.000 0.000 0.500 x4
Zn1 0.250 0.250 0.250 x4
Pb1 0.250 0.250 0.750 x4



# 5
TlS6N2 | GGA-PBE | optimized geometry

Values from the calculation:
size of the total moment = 0.00 Bohr magnetons per cell
electronic total energy = -0.330 Ry/atom
formation energy without anion corrections = 0.38 eV/atom

Cell lengths 4.123, 6.402, 9.247 Å; angles 105.40, 94.67, 101.05 degrees
Space group P1 (No. 1)
Inequivalent atoms, fractional coordinates:
Tl1 0.000 0.000 0.000 x1
S1 0.077 0.012 0.451 x1
S2 0.135 0.476 0.902 x1
S3 0.408 0.866 0.285 x1
S4 0.633 0.759 0.673 x1
S5 0.776 0.490 0.062 x1
S6 0.941 0.696 0.526 x1
N1 0.409 0.346 0.965 x1
N2 0.754 0.058 0.372 x1



# 6
AcZnRh4 | GGA-PBE | optimized geometry

Values from the calculation:
size of the total moment = 0.00 Bohr magnetons per cell
formation energy from the elements = -0.213 eV per atom
energy above the lowest structure with this stoichiometry = 24 meV/atom
electronic total energy = -0.442 Ry/atom

Cell lengths 4.102, 16.280, 6.445 Å; angles 90.00, 90.00, 90.00 degrees
Space group Cmcm (No. 63)
Inequivalent atoms, fractional coordinates:
Ac1 0.000 0.105 0.250 x4
Zn1 0.000 0.230 0.750 x4
Rh1 0.000 0.077 0.750 x4
Rh2 0.000 0.329 0.050 x8
Rh3 0.000 0.500 0.000 x4



# 7
La8CoNi2Ir | GGA-PBE | optimized geometry

Values from the calculation:
size of the total moment = 0.00 Bohr magnetons per cell
formation energy from the elements = -0.258 eV per atom
electronic total energy = -0.429 Ry/atom

Cell lengths 6.689, 8.441, 6.750 Å; angles 90.00, 91.24, 90.00 degrees
Space group P2/m (No. 10)
Inequivalent atoms, fractional coordinates:
La1 0.149 0.000 0.231 x2
La2 0.157 0.500 0.229 x2
La3 0.342 0.260 0.719 x4
Co1 0.500 0.500 0.500 x1
Ni1 0.000 0.251 0.000 x2
Ir1 0.500 0.000 0.500 x1



# 8
YNb2Re | GGA-PBE | optimized geometry

Values from the calculation:
size of the total moment = 0.00 Bohr magnetons per cell
formation energy from the elements = 0.511 eV per atom
energy above the lowest structure with this stoichiometry = 309 meV/atom
electronic total energy = -0.680 Ry/atom

Cell lengths 7.687, 7.687, 5.881 Å; angles 90.00, 90.00, 90.00 degrees
Space group I-42d (No. 122)
Inequivalent atoms, fractional coordinates:
Y1 0.000 0.000 0.000 x4
Nb1 0.197 0.250 0.625 x8
Re1 0.000 0.000 0.500 x4



> Among the records above, which one has the lowest electronic total energy?

FeTc2Ir